Record 1
The following is a DFT calculation (PBE) of a relaxed structure of BaCa2WAu.

Cell lengths 5.629, 5.629, 6.163 Å; angles 90.00, 90.00, 90.00 degrees
Space group P4/mmm (No. 123)
Inequivalent atoms, fractional coordinates:
1 Ba 0.000 0.000 0.000 x1
2 Ca 0.000 0.500 0.500 x2
3 W 0.500 0.500 0.000 x1
4 Au 0.000 0.000 0.500 x1

Calculated volume ... 39.058 A^3/atom
Theoretical density ... 5.09 Mg/m³
Uncorrected energy ... -3.629 eV/atom
Spin magnetization ... 0.879 μB/atom

---

Record 2
The following is a DFT calculation (PBE) of a relaxed structure of TeCF3.

Cell lengths 4.058, 4.058, 4.058 Å; angles 90.00, 90.00, 90.00 degrees
Space group Pm-3m (No. 221)
Inequivalent atoms, fractional coordinates:
1 Te 0.000 0.000 0.000 x1
2 C 0.500 0.500 0.500 x1
3 F 0.000 0.500 0.500 x3

Calculated volume ... 13.369 A^3/atom
Theoretical density ... 4.88 Mg/m³
Energy relative to the lowest polymorph listed for this composition ... 223 meV per atom
Uncorrected energy ... -3.153 eV/atom
Spin magnetization ... 0.138 μB/atom